# 1
First-principles (GGA-PBE) data for a geometry-optimized LaSmZn2In2 structure, as listed in Alexandria.

Raw total energy ... -20.44 eV/cell
M_tot ... 0.00 μB/cell
Space-group type ... No. 164
Density ... 7.18 g cm⁻³

Lattice parameters (Å, degrees): 4.750 4.750 7.691 90.00 90.00 120.00
Positions (direct):
Zn 0.333 0.667 0.283
Zn 0.667 0.333 0.717
In 0.333 0.667 0.736
In 0.667 0.333 0.264
La 0.000 0.000 0.000
Sm 0.000 0.000 0.500

***

# 2
First-principles (GGA-PBE) data for a geometry-optimized La2InSn structure, as listed in Alexandria.

Raw total energy ... -38.40 eV/cell
M_tot ... 0.00 μB/cell
Space-group type ... No. 74
Density ... 7.04 g cm⁻³

Lattice parameters (Å, degrees): 7.216 6.867 6.867 64.90 58.30 58.30
Positions (direct):
La 0.775 0.725 0.225
La 0.725 0.275 0.775
La 0.225 0.275 0.775
La 0.275 0.725 0.225
Sn 0.250 0.789 0.711
Sn 0.750 0.211 0.289
In 0.250 0.212 0.288
In 0.750 0.788 0.712

***

# 3
First-principles (GGA-PBE) data for a geometry-optimized La4In2Sn structure, as listed in Alexandria.

Raw total energy ... -30.33 eV/cell
M_tot ... 0.00 μB/cell
Space-group type ... No. 139
Density ... 5.27 g cm⁻³

Lattice parameters (Å, degrees): 6.004 6.004 8.975 70.46 70.46 90.00
Positions (direct):
In 0.606 0.606 0.788
In 0.394 0.394 0.212
Sn 0.000 0.000 0.000
La 0.000 0.500 0.000
La 0.500 0.000 0.000
La 0.195 0.195 0.610
La 0.805 0.805 0.390

***

# 4
First-principles (GGA-PBE) data for a geometry-optimized LaInSn2 structure, as listed in Alexandria.

Raw total energy ... -17.01 eV/cell
M_tot ... 0.00 μB/cell
Space-group type ... No. 166
Density ... 6.93 g cm⁻³

Lattice parameters (Å, degrees): 5.085 5.085 6.019 65.01 65.01 60.00
Positions (direct):
Sn 0.776 0.776 0.673
Sn 0.224 0.224 0.327
In 0.500 0.500 0.500
La 0.000 0.000 0.000

***

# 5
First-principles (GGA-PBE) data for a geometry-optimized La8In2Sn structure, as listed in Alexandria.

Raw total energy ... -52.37 eV/cell
M_tot ... 0.00 μB/cell
Space-group type ... No. 12
Density ... 6.60 g cm⁻³

Lattice parameters (Å, degrees): 5.475 8.522 9.358 117.13 107.01 90.00
Positions (direct):
Sn 0.500 0.000 0.000
La 0.345 0.123 0.691
La 0.654 0.432 0.309
La 0.000 0.703 0.001
La 0.346 0.568 0.691
La 0.132 0.132 0.263
La 0.655 0.877 0.309
La 0.868 0.868 0.737
La 0.000 0.297 0.999
In 0.808 0.308 0.616
In 0.192 0.692 0.384

***

# 6
First-principles (GGA-PBE) data for a geometry-optimized La3In2Sn3 structure, as listed in Alexandria.

Raw total energy ... -73.41 eV/cell
M_tot ... 0.00 μB/cell
Space-group type ... No. 63
Density ... 7.02 g cm⁻³

Lattice parameters (Å, degrees): 5.053 6.357 16.080 90.00 90.00 113.42
Positions (direct):
In 0.182 0.364 0.155
In 0.818 0.636 0.655
In 0.818 0.636 0.845
In 0.182 0.364 0.345
Sn 0.255 0.509 0.750
Sn 0.745 0.491 0.250
Sn 0.941 0.882 0.410
Sn 0.059 0.118 0.590
Sn 0.941 0.882 0.090
Sn 0.059 0.118 0.910
La 0.644 0.289 0.030
La 0.356 0.711 0.970
La 0.541 0.083 0.750
La 0.356 0.711 0.530
La 0.644 0.289 0.470
La 0.459 0.917 0.250